DFT (PBE) results for a relaxed Ba2CaTl crystal.

The value obtained for the relative energy among the computed polymorphs is 0.019 eV/atom. Its crystal system is tetragonal. As for the density of states at the Fermi level: 1.18 states/eV/atom.

The structure belongs to space group I-4 (No. 82); the cell edges are 13.9709, 13.9709 and 7.5469 Å and the angles 90.00°, 90.00° and 90.00°. Symmetry generates all atoms from Ba at (0.0485, 0.1351, 0.2360), Ba at (0.0853, 0.6322, 0.9944), Ca at (0.1601, 0.7175, 0.5045) and Tl at (0.0779, 0.2028, 0.7424).